1.
{
  "formula": "Ho3ErAl",
  "functional": "GGA-PBE",
  "state": "relaxed",
  "formation_energy_mev_per_atom": -148,
  "space_group": "C2/m (12)",
  "magmom_total_mub_per_cell": 0.7,
  "n_ef_per_ev_fu": 6.3,
  "lattice_angstrom": [[6.408, -1.786, 0.000], [6.408, 1.786, 0.000], [-1.115, 0.000, 12.297]],
  "species": ["Ho", "Ho", "Ho", "Ho", "Ho", "Ho", "Er", "Er", "Al", "Al"],
  "frac_coords": [[0.034, 0.034, 0.194], [0.140, 0.140, 0.451], [0.364, 0.364, 0.021], [0.636, 0.636, 0.979], [0.860, 0.860, 0.549], [0.966, 0.966, 0.806], [0.224, 0.224, 0.749], [0.776, 0.776, 0.251], [0.448, 0.448, 0.376], [0.552, 0.552, 0.624]]
}

=====

2.
{
  "formula": "GaFePd3",
  "functional": "GGA-PBE",
  "state": "relaxed",
  "de_polymorph_mev_per_atom": 0,
  "formation_energy_mev_per_atom": 550,
  "space_group": "Pm-3m (221)",
  "magmom_total_mub_per_cell": 3.2,
  "n_ef_per_ev_fu": 6.7,
  "lattice_angstrom": [[4.585, 0.000, 0.000], [0.000, 4.585, 0.000], [0.000, 0.000, 4.585]],
  "species": ["Ga", "Fe", "Pd", "Pd", "Pd"],
  "frac_coords": [[0.000, 0.000, 0.000], [0.500, 0.500, 0.500], [0.000, 0.000, 0.500], [0.000, 0.500, 0.000], [0.500, 0.000, 0.000]]
}

=====

3.
{
  "formula": "ZrTa4Os",
  "functional": "GGA-PBE",
  "state": "relaxed",
  "formation_energy_mev_per_atom": 204,
  "space_group": "F-43m (216)",
  "magmom_total_mub_per_cell": 0.0,
  "n_ef_per_ev_fu": 3.9,
  "lattice_angstrom": [[0.000, 3.836, 3.836], [3.836, 0.000, 3.836], [3.836, 3.836, 0.000]],
  "species": ["Zr", "Ta", "Ta", "Ta", "Ta", "Os"],
  "frac_coords": [[0.000, 0.000, 0.000], [0.375, 0.375, 0.375], [0.375, 0.375, 0.875], [0.375, 0.875, 0.375], [0.875, 0.375, 0.375], [0.750, 0.750, 0.750]]
}